## Sr4In12Pb (PBE-GGA)

Data for a relaxed Sr4In12Pb crystal.

Computed properties:
The space-group type is Im-3m (229). For the formation enthalpy at 0 K, the calculation gives -0.3127 eV/atom.

Cell: 8.7110 8.7110 8.7110 Å, 109.47 109.47 109.47°
Last column: nearest neighbours and their distance in Å.
Positions (direct):
Sr 0.0000 0.0000 0.5000  12 In 3.56-3.62
Sr 0.0000 0.5000 0.0000  12 In 3.56-3.62
Sr 0.5000 0.0000 0.0000  12 In 3.56-3.62
Sr 0.5000 0.5000 0.5000  12 In 3.56-3.62
In 0.0000 0.3154 0.3154  4 In 3.13, 1 Pb 3.17
In 0.0000 0.6846 0.6846  4 In 3.13, 1 Pb 3.17
In 0.2500 0.5000 0.7500  4 In 3.13
In 0.2500 0.7500 0.5000  4 In 3.13
In 0.3154 0.0000 0.3154  4 In 3.13, 1 Pb 3.17
In 0.3154 0.3154 0.0000  4 In 3.13, 1 Pb 3.17
In 0.5000 0.2500 0.7500  4 In 3.13
In 0.5000 0.7500 0.2500  4 In 3.13
In 0.6846 0.0000 0.6846  4 In 3.13, 1 Pb 3.17
In 0.6846 0.6846 0.0000  4 In 3.13, 1 Pb 3.17
In 0.7500 0.2500 0.5000  4 In 3.13
In 0.7500 0.5000 0.2500  4 In 3.13
Pb 0.0000 0.0000 0.0000  6 In 3.17



## CeErScIn (PBE-GGA)

Data for a relaxed CeErScIn crystal.

Computed properties:
The space-group type is F-43m (216). For the formation enthalpy at 0 K, the calculation gives -0.0770 eV/atom.

Cell: 5.2510 5.2510 5.2510 Å, 60.00 60.00 60.00°
Last column: nearest neighbours and their distance in Å.
Positions (direct):
Ce 0.0000 0.0000 0.0000  4 Sc 3.22, 4 Er 3.22
Er 0.2500 0.2500 0.2500  4 In 3.22, 4 Ce 3.22
Sc 0.7500 0.7500 0.7500  4 In 3.22, 4 Ce 3.22
In 0.5000 0.5000 0.5000  4 Er 3.22, 4 Sc 3.22